# La3YEr3 (PBE, optimized geometry)
# space-group type = No. 176
# offset from the most stable computed form = 0 meV per atom
# electronic total energy = -4.953 eV/atom
# E_form = 0.037 eV per atom
# total moment = 0.00 Bohr magnetons per cell
data_La3YEr3
_space_group_name_H-M_alt 'P 1'
_space_group_IT_number 1
_space_group_name_Hall 'P 1'
_cell_length_a 9.745
_cell_length_b 9.745
_cell_length_c 5.793
_cell_angle_alpha 90.00
_cell_angle_beta 90.00
_cell_angle_gamma 120.00
loop_
_atom_site_label
_atom_site_fract_x
_atom_site_fract_y
_atom_site_fract_z
La1 0.096 0.624 0.250
La2 0.376 0.472 0.250
La3 0.472 0.096 0.750
La4 0.528 0.904 0.250
La5 0.624 0.528 0.750
La6 0.904 0.376 0.750
Y1 0.333 0.667 0.750
Y2 0.667 0.333 0.250
Er1 0.044 0.814 0.750
Er2 0.186 0.231 0.750
Er3 0.231 0.044 0.250
Er4 0.769 0.956 0.750
Er5 0.814 0.769 0.250
Er6 0.956 0.186 0.250


# La2Y7Er4 (PBE, optimized geometry)
# space-group type = No. 162
# electronic total energy = -5.440 eV/atom
# E_form = 0.203 eV per atom
# total moment = 0.00 Bohr magnetons per cell
data_La2Y7Er4
_space_group_name_H-M_alt 'P 1'
_space_group_IT_number 1
_space_group_name_Hall 'P 1'
_cell_length_a 6.111
_cell_length_b 6.111
_cell_length_c 13.332
_cell_angle_alpha 90.00
_cell_angle_beta 90.00
_cell_angle_gamma 120.00
loop_
_atom_site_label
_atom_site_fract_x
_atom_site_fract_y
_atom_site_fract_z
La1 0.333 0.667 0.000
La2 0.667 0.333 0.000
Y1 0.000 0.000 0.000
Y2 0.000 0.355 0.219
Y3 0.000 0.645 0.781
Y4 0.355 0.000 0.219
Y5 0.355 0.355 0.781
Y6 0.645 0.000 0.781
Y7 0.645 0.645 0.219
Er1 0.000 0.000 0.396
Er2 0.000 0.000 0.604
Er3 0.333 0.667 0.500
Er4 0.667 0.333 0.500


# La3Y6Er (PBE, optimized geometry)
# space-group type = No. 36
# offset from the most stable computed form = 0 meV per atom
# electronic total energy = -5.666 eV/atom
# E_form = 0.147 eV per atom
# total moment = 0.00 Bohr magnetons per cell
data_La3Y6Er
_space_group_name_H-M_alt 'P 1'
_space_group_IT_number 1
_space_group_name_Hall 'P 1'
_cell_length_a 11.027
_cell_length_b 11.027
_cell_length_c 6.447
_cell_angle_alpha 90.00
_cell_angle_beta 90.00
_cell_angle_gamma 119.84
loop_
_atom_site_label
_atom_site_fract_x
_atom_site_fract_y
_atom_site_fract_z
La1 0.114 0.886 0.500
La2 0.211 0.440 0.105
La3 0.440 0.211 0.605
La4 0.560 0.789 0.105
La5 0.789 0.560 0.605
La6 0.886 0.114 0.000
Y1 0.031 0.450 0.698
Y2 0.123 0.214 0.515
Y3 0.214 0.123 0.015
Y4 0.228 0.772 0.920
Y5 0.450 0.031 0.198
Y6 0.461 0.539 0.697
Y7 0.539 0.461 0.197
Y8 0.550 0.969 0.698
Y9 0.772 0.228 0.420
Y10 0.786 0.877 0.515
Y11 0.877 0.786 0.015
Y12 0.969 0.550 0.198
Er1 0.306 0.694 0.439
Er2 0.694 0.306 0.939


# La2Y5Er12 (PBE, optimized geometry)
# space-group type = No. 2
# offset from the most stable computed form = 0 meV per atom
# electronic total energy = -5.073 eV/atom
# E_form = 0.029 eV per atom
# total moment = 0.00 Bohr magnetons per cell
data_La2Y5Er12
_space_group_name_H-M_alt 'P 1'
_space_group_IT_number 1
_space_group_name_Hall 'P 1'
_cell_length_a 6.149
_cell_length_b 9.411
_cell_length_c 10.644
_cell_angle_alpha 100.95
_cell_angle_beta 95.51
_cell_angle_gamma 90.07
loop_
_atom_site_label
_atom_site_fract_x
_atom_site_fract_y
_atom_site_fract_z
La1 0.081 0.316 0.473
La2 0.919 0.684 0.527
Y1 0.238 0.947 0.419
Y2 0.340 0.369 0.052
Y3 0.500 0.000 0.000
Y4 0.660 0.631 0.948
Y5 0.762 0.053 0.581
Er1 0.024 0.104 0.155
Er2 0.133 0.526 0.791
Er3 0.183 0.737 0.104
Er4 0.291 0.158 0.740
Er5 0.395 0.580 0.366
Er6 0.447 0.791 0.687
Er7 0.553 0.209 0.313
Er8 0.605 0.420 0.634
Er9 0.709 0.842 0.260
Er10 0.817 0.263 0.896
Er11 0.867 0.474 0.209
Er12 0.976 0.896 0.845